This record from Alexandria via LeMat-Bulk describes a relaxed Ce6CdSn2 crystal. The functional is PBE.

## Properties
- formation energy from the elements (eV/atom) = -0.256
- mass density (g cm⁻³) = 8.74
- uncorrected energy (eV/atom) = -5.203

Cell lengths 9.1009, 9.1009, 3.1542 Å; angles 90.00, 90.00, 120.00 degrees
Space group P6/mmm (No. 191)
Symmetry-distinct sites (fractional):
1 Ce 0.0000 0.3358 0.0000 x6
2 Cd 0.0000 0.0000 0.5000 x1
3 Sn 0.3333 0.6667 0.5000 x2